[1]
The following is a DFT calculation (PBE) of a relaxed TmSbPt4 crystal.

Lattice parameters (Å, degrees): 5.4039 5.4039 5.4039 60.00 60.00 60.00
Fractional positions:
Tm 0.0000 0.0000 0.0000
Sb 0.7500 0.7500 0.7500
Pt 0.3748 0.3748 0.3748
Pt 0.3748 0.3748 0.8756
Pt 0.3748 0.8756 0.3748
Pt 0.8756 0.3748 0.3748

Calculated values
- E: -6.13 eV per atom

***

[2]
The following is a DFT calculation (PBE) of a relaxed Tm4SbPt crystal.

Lattice parameters (Å, degrees): 8.4282 4.8900 8.5347 90.00 109.00 90.00
Fractional positions:
Tm 0.1177 0.0000 0.3539
Tm 0.2022 0.5000 0.1068
Tm 0.2978 0.0000 0.8932
Tm 0.3823 0.5000 0.6461
Tm 0.6177 0.5000 0.3539
Tm 0.7022 0.0000 0.1068
Tm 0.7978 0.5000 0.8932
Tm 0.8823 0.0000 0.6461
Sb 0.0000 0.5000 0.5000
Sb 0.5000 0.0000 0.5000
Pt 0.0000 0.0000 0.0000
Pt 0.5000 0.5000 0.0000

Calculated values
- Distance to the lowest polymorph of the same formula: 0.786 eV/f.u.

***

[3]
The following is a DFT calculation (PBE) of a relaxed Tm7Sb2Pt2 crystal.

Lattice parameters (Å, degrees): 9.2601 9.2601 9.2601 155.31 67.54 118.26
Fractional positions:
Tm 0.0000 0.0000 0.0000
Tm 0.0577 0.3711 0.6866
Tm 0.0876 0.7297 0.3579
Tm 0.3718 0.7297 0.6421
Tm 0.4592 0.5826 0.8766
Tm 0.6844 0.3711 0.3134
Tm 0.7059 0.5826 0.1234
Sb 0.3303 0.3303 0.0000
Sb 0.7440 0.2440 0.5000
Pt 0.3078 0.0694 0.2384
Pt 0.8309 0.0694 0.7616

Calculated values
- Distance to the lowest polymorph of the same formula: 0.000 eV/f.u.

***

[4]
The following is a DFT calculation (PBE) of a relaxed Tm4SbPt crystal.

Lattice parameters (Å, degrees): 6.0202 6.4505 8.6708 90.00 110.36 90.00
Fractional positions:
Tm 0.9996 0.0004 0.2063
Tm 0.0004 0.9996 0.7937
Tm 0.9996 0.4996 0.2063
Tm 0.0004 0.5004 0.7937
Tm 0.3958 0.2500 0.6015
Tm 0.4320 0.2500 0.1080
Tm 0.5680 0.7500 0.8920
Tm 0.6042 0.7500 0.3985
Sb 0.1929 0.7500 0.5423
Sb 0.8071 0.2500 0.4577
Pt 0.2740 0.7500 0.0739
Pt 0.7260 0.2500 0.9261

Calculated values
- Distance to the lowest polymorph of the same formula: 0.000 eV/f.u.

***

> Which formula does entry 2 have?

Tm4SbPt

***

Please write out number 1 again, unchanged.
The following is a DFT calculation (PBE) of a relaxed TmSbPt4 crystal.

Lattice parameters (Å, degrees): 5.4039 5.4039 5.4039 60.00 60.00 60.00
Fractional positions:
Tm 0.0000 0.0000 0.0000
Sb 0.7500 0.7500 0.7500
Pt 0.3748 0.3748 0.3748
Pt 0.3748 0.3748 0.8756
Pt 0.3748 0.8756 0.3748
Pt 0.8756 0.3748 0.3748

Calculated values
- E: -6.13 eV per atom